[1]
! La5YHg4 (PBE-GGA, optimized geometry); values from VASP
&SYSTEM
  ibrav = 0, nat = 10, ntyp = 3
/
ATOMIC_SPECIES
La 138.91 La.upf
Y 88.91 Y.upf
Hg 200.59 Hg.upf
ATOMIC_POSITIONS crystal
La 0.500 0.500 0.118
La 0.500 0.500 0.309
La 0.500 0.500 0.500
La 0.500 0.500 0.691
La 0.500 0.500 0.882
Y 0.000 0.000 0.000
Hg 0.000 0.000 0.210
Hg 0.000 0.000 0.405
Hg 0.000 0.000 0.595
Hg 0.000 0.000 0.790
CELL_PARAMETERS angstrom
3.890 0.000 0.000
0.000 3.890 0.000
0.000 0.000 20.511
! Calculated volume, Å³/f.u.: 310.3
! Total energy, eV/cell: -36.15
! ΔE_f, eV per atom: -0.38

=====

[2]
! La2YHg (PBE-GGA, optimized geometry); values from VASP
&SYSTEM
  ibrav = 0, nat = 4, ntyp = 3
/
ATOMIC_SPECIES
Y 88.91 Y.upf
Hg 200.59 Hg.upf
La 138.91 La.upf
ATOMIC_POSITIONS crystal
Y 0.534 0.534 0.463
Hg 0.241 0.241 0.263
La 0.971 0.971 0.026
La 0.754 0.754 0.748
CELL_PARAMETERS angstrom
-3.966 5.310 -1.565
-4.534 4.581 2.199
2.210 5.050 1.312
! Calculated volume, Å³/f.u.: 129.3
! Total energy, eV/cell: -17.58
! ΔE_f, eV per atom: -0.24

=====

[3]
! LaY2Hg (PBE-GGA, optimized geometry); values from VASP
&SYSTEM
  ibrav = 0, nat = 4, ntyp = 3
/
ATOMIC_SPECIES
Hg 200.59 Hg.upf
La 138.91 La.upf
Y 88.91 Y.upf
ATOMIC_POSITIONS crystal
Hg 0.503 0.503 0.503
La 0.757 0.757 0.757
Y 0.998 0.998 0.998
Y 0.242 0.242 0.242
CELL_PARAMETERS angstrom
-5.878 -6.454 -6.680
-2.548 -7.983 -7.114
-4.680 -8.982 -4.273
! Calculated volume, Å³/f.u.: 127.2
! Total energy, eV/cell: -18.75
! ΔE_f, eV per atom: -0.15

=====

[4]
! La2YHg (PBE-GGA, optimized geometry); values from VASP
&SYSTEM
  ibrav = 0, nat = 4, ntyp = 3
/
ATOMIC_SPECIES
Hg 200.59 Hg.upf
La 138.91 La.upf
Y 88.91 Y.upf
ATOMIC_POSITIONS crystal
Hg 0.000 0.500 0.500
La 0.000 0.000 0.000
La 0.500 0.500 0.000
Y 0.500 0.000 0.500
CELL_PARAMETERS angstrom
5.781 0.201 0.000
-0.232 5.780 0.000
0.000 0.000 3.792
! Calculated volume, Å³/f.u.: 126.9
! Total energy, eV/cell: -17.29
! ΔE_f, eV per atom: -0.17